A | A plane-wave DFT calculation with PBE-GGA was carried out for a geometry-optimized LiMnSb2 structure.

Calculated values
Size of the total moment   0.00 μB/f.u.
Crystal system   cubic
D(E_F)   10.4 states/eV per cell

Lattice parameters (Å, degrees): 6.5450 6.5450 6.5450 90.00 90.00 90.00
With the nearest neighbours (Å) after each atom.
Space group Fm-3m (No. 225)
Asymmetric unit:
Li  0.0000  0.0000  0.0000 [4 per cell]  8 Sb 2.83
Mn  0.0000  0.0000  0.5000 [4 per cell]  8 Sb 2.83
Sb  0.2500  0.2500  0.2500 [8 per cell]  4 Li 2.83, 4 Mn 2.83

B | A plane-wave DFT calculation with PBE-GGA was carried out for a geometry-optimized LiMnSb2 structure.

Calculated values
Size of the total moment   3.65 μB/f.u.
Crystal system   trigonal
D(E_F)   10.6 states/eV per cell

Lattice parameters (Å, degrees): 3.2978 3.2978 28.4063 90.00 90.00 120.00
With the nearest neighbours (Å) after each atom.
Space group R3m (No. 160, hexagonal axes)
Asymmetric unit:
Li  0.0000  0.0000  0.0000 [3 per cell]  3 Sb 2.96, 3 Mn 2.97, 6 Li 3.30
Mn  0.0000  0.0000  0.7467 [3 per cell]  3 Sb 2.80, 3 Li 2.97
Sb  0.0000  0.0000  0.2537 [3 per cell]  3 Li 2.96, 6 Sb 3.30
Sb  0.0000  0.0000  0.4857 [3 per cell]  3 Mn 2.80

Energies relative to the most stable structure are A 0.000; B 0.157, reported in eV/atom.

A | A plane-wave DFT calculation with PBE-GGA was carried out for a geometry-optimized LiMnSb2 structure.

Calculated values
Size of the total moment   3.48 μB/f.u.
Crystal system   monoclinic
D(E_F)   2.0 states/eV per cell

Lattice parameters (Å, degrees): 3.2449 3.9291 6.7105 90.00 100.92 90.00
With the nearest neighbours (Å) after each atom.
Space group P2/m (No. 10)
Asymmetric unit:
Li  0.0000  0.0000  0.0000 [1 per cell]  8 Sb 2.97-3.20, 2 Li 3.24
Mn  0.0000  0.0000  0.5000 [1 per cell]  4 Sb 2.79
Sb  0.4657  0.5000  0.7370 [2 per cell]  2 Mn 2.79, 2 Li 2.97

B | A plane-wave DFT calculation with PBE-GGA was carried out for a geometry-optimized LiMnSb2 structure.

Calculated values
Size of the total moment   4.17 μB/f.u.
Crystal system   cubic
D(E_F)   8.9 states/eV per cell

Lattice parameters (Å, degrees): 7.1126 7.1126 7.1126 90.00 90.00 90.00
With the nearest neighbours (Å) after each atom.
Space group F-43m (No. 216)
Asymmetric unit:
Li  0.0000  0.0000  0.0000 [4 per cell]  4 Mn 3.08, 4 Sb 3.08
Mn  0.2500  0.2500  0.2500 [4 per cell]  4 Li 3.08, 4 Sb 3.08
Sb  0.0000  0.0000  0.5000 [4 per cell]  4 Mn 3.08, 4 Sb 3.08
Sb  0.2500  0.2500  0.7500 [4 per cell]  4 Li 3.08, 4 Sb 3.08

C | A plane-wave DFT calculation with PBE-GGA was carried out for a geometry-optimized LiMnSb2 structure.

Calculated values
Size of the total moment   3.08 μB/f.u.
Crystal system   trigonal
D(E_F)   5.6 states/eV per cell

Lattice parameters (Å, degrees): 4.1786 4.1786 17.6737 90.00 90.00 120.00
With the nearest neighbours (Å) after each atom.
Space group R3m (No. 160, hexagonal axes)
Asymmetric unit:
Li  0.0000  0.0000  0.0000 [3 per cell]  6 Sb 2.91-2.95, 1 Mn 2.99
Mn  0.0000  0.0000  0.1694 [3 per cell]  6 Sb 2.73-2.74, 1 Li 2.99
Sb  0.0000  0.0000  0.5746 [3 per cell]  3 Mn 2.73, 3 Li 2.91
Sb  0.0000  0.0000  0.7630 [3 per cell]  3 Mn 2.74, 3 Li 2.95

Energies relative to the most stable structure are A 0.093; B 0.390; C 0.000, reported in eV/atom.

A | A plane-wave DFT calculation with PBE-GGA was carried out for a geometry-optimized LiScMn structure.

Calculated values
Size of the total moment   2.65 μB/f.u.
Crystal system   trigonal
D(E_F)   3.6 states/eV per cell

Lattice parameters (Å, degrees): 4.5209 4.5209 2.9537 90.00 90.00 120.00
With the nearest neighbours (Å) after each atom.
Space group P3m1 (No. 156)
Asymmetric unit:
Li  0.0000  0.0000  0.0000 [1 per cell]  3 Mn 2.66, 3 Sc 2.84, 2 Li 2.95
Sc  0.6667  0.3333  0.6201 [1 per cell]  3 Li 2.84, 6 Mn 2.92-3.09, 2 Sc 2.95
Mn  0.3333  0.6667  0.1772 [1 per cell]  3 Li 2.66, 3 Sc 2.92, 2 Mn 2.95

B | A plane-wave DFT calculation with PBE-GGA was carried out for a geometry-optimized LiScMn structure.

Calculated values
Size of the total moment   2.64 μB/f.u.
Crystal system   cubic
D(E_F)   15.3 states/eV per cell

Lattice parameters (Å, degrees): 6.1393 6.1393 6.1393 90.00 90.00 90.00
With the nearest neighbours (Å) after each atom.
Space group F-43m (No. 216)
Asymmetric unit:
Li  0.0000  0.0000  0.0000 [4 per cell]  4 Mn 2.66, 4 Sc 2.66
Sc  0.2500  0.2500  0.7500 [4 per cell]  4 Li 2.66
Mn  0.2500  0.2500  0.2500 [4 per cell]  4 Li 2.66

C | A plane-wave DFT calculation with PBE-GGA was carried out for a geometry-optimized LiScMn structure.

Calculated values
Size of the total moment   2.95 μB/f.u.
Crystal system   cubic
D(E_F)   11.9 states/eV per cell

Lattice parameters (Å, degrees): 6.3820 6.3820 6.3820 90.00 90.00 90.00
With the nearest neighbours (Å) after each atom.
Space group F-43m (No. 216)
Asymmetric unit:
Li  0.0000  0.0000  0.0000 [4 per cell]  4 Sc 2.76
Sc  0.2500  0.2500  0.7500 [4 per cell]  4 Mn 2.76, 4 Li 2.76
Mn  0.0000  0.0000  0.5000 [4 per cell]  4 Sc 2.76

Energies relative to the most stable structure are A 0.000; B 0.385; C 0.602, reported in eV/atom.

A | A plane-wave DFT calculation with PBE-GGA was carried out for a geometry-optimized LiSc3Mn structure.

Calculated values
Size of the total moment   0.00 μB/f.u.
Crystal system   cubic
D(E_F)   5.9 states/eV per cell

Lattice parameters (Å, degrees): 4.9065 4.9065 4.9065 90.00 90.00 90.00
With the nearest neighbours (Å) after each atom.
Space group Pm-3m (No. 221)
Asymmetric unit:
Li  0.0000  0.0000  0.0000 [1 per cell]  12 Sc 3.47
Sc  0.0000  0.5000  0.5000 [3 per cell]  2 Mn 2.45
Mn  0.5000  0.5000  0.5000 [1 per cell]  6 Sc 2.45

B | A plane-wave DFT calculation with PBE-GGA was carried out for a geometry-optimized LiSc3Mn structure.

Calculated values
Size of the total moment   2.08 μB/f.u.
Crystal system   cubic
D(E_F)   14.6 states/eV per cell

Lattice parameters (Å, degrees): 4.7379 4.7379 4.7379 90.00 90.00 90.00
With the nearest neighbours (Å) after each atom.
Space group Pm-3m (No. 221)
Asymmetric unit:
Li  0.0000  0.0000  0.0000 [1 per cell]  6 Sc 2.37
Sc  0.0000  0.0000  0.5000 [3 per cell]  2 Li 2.37
Mn  0.5000  0.5000  0.5000 [1 per cell]  12 Sc 3.35

Energies relative to the most stable structure are A 0.000; B 0.889, reported in eV/atom.

A | A plane-wave DFT calculation with PBE-GGA was carried out for a geometry-optimized LiMnSe3 structure.

Calculated values
Size of the total moment   0.00 μB/f.u.
Crystal system   cubic
D(E_F)   8.3 states/eV per cell

Lattice parameters (Å, degrees): 4.7664 4.7664 4.7664 90.00 90.00 90.00
With the nearest neighbours (Å) after each atom.
Space group Pm-3m (No. 221)
Asymmetric unit:
Li  0.0000  0.0000  0.0000 [1 per cell]  12 Se 3.37
Mn  0.5000  0.5000  0.5000 [1 per cell]  6 Se 2.38
Se  0.0000  0.5000  0.5000 [3 per cell]  2 Mn 2.38

B | A plane-wave DFT calculation with PBE-GGA was carried out for a geometry-optimized LiMnSe3 structure.

Calculated values
Size of the total moment   3.17 μB/f.u.
Crystal system   triclinic
D(E_F)   3.6 states/eV per cell

Lattice parameters (Å, degrees): 4.9834 6.7097 7.4856 73.81 77.12 69.40
With the nearest neighbours (Å) after each atom.
Space group P-1 (No. 2)
Asymmetric unit:
Li  0.1732  0.3720  0.2393 [2 per cell]  4 Se 2.58-2.66
Mn  0.3734  0.7920  0.4176 [2 per cell]  6 Se 2.45-2.58
Se  0.1772  0.1100  0.5794 [2 per cell]  3 Mn 2.53-2.58, 1 Li 2.66
Se  0.2728  0.0254  0.1006 [2 per cell]  1 Se 2.39, 1 Mn 2.50, 1 Li 2.65
Se  0.3910  0.5252  0.7253 [2 per cell]  2 Mn 2.45-2.49, 2 Li 2.58-2.62

Energies relative to the most stable structure are A 0.576; B 0.000, reported in eV/atom.

A | A plane-wave DFT calculation with PBE-GGA was carried out for a geometry-optimized LiMnSe structure.

Calculated values
Size of the total moment   4.02 μB/f.u.
Crystal system   cubic
D(E_F)   6.5 states/eV per cell

Lattice parameters (Å, degrees): 5.9651 5.9651 5.9651 90.00 90.00 90.00
With the nearest neighbours (Å) after each atom.
Space group F-43m (No. 216)
Asymmetric unit:
Li  0.0000  0.0000  0.0000 [4 per cell]  4 Se 2.58
Mn  0.0000  0.0000  0.5000 [4 per cell]  4 Se 2.58
Se  0.2500  0.2500  0.7500 [4 per cell]  4 Mn 2.58, 4 Li 2.58

B | A plane-wave DFT calculation with PBE-GGA was carried out for a geometry-optimized LiMnSe structure.

Calculated values
Size of the total moment   4.01 μB/f.u.
Crystal system   orthorhombic
D(E_F)   4.6 states/eV per cell

Lattice parameters (Å, degrees): 5.0208 5.0473 7.6115 90.00 90.00 90.00
With the nearest neighbours (Å) after each atom.
Space group Fmm2 (No. 42)
Asymmetric unit:
Li  0.0000  0.0000  0.0000 [4 per cell]  1 Se 2.48, 1 Mn 2.60
Mn  0.0000  0.0000  0.6590 [4 per cell]  5 Se 2.54-2.82, 5 Li 2.60-2.80
Se  0.0000  0.0000  0.3254 [4 per cell]  1 Li 2.48, 1 Mn 2.54

Energies relative to the most stable structure are A 0.000; B 0.162, reported in eV/atom.